TcRuBr: single point on PBEsol structure, meta-GGA SCAN. Values from VASP.

```
&SYSTEM
  ibrav = 0, nat = 3, ntyp = 3
/
ATOMIC_SPECIES
Tc 98.00 Tc.upf
Ru 101.07 Ru.upf
Br 79.90 Br.upf
ATOMIC_POSITIONS crystal
Tc 0.2348 0.6667 0.3333
Ru 0.7181 0.3333 0.6667
Br 0.0471 0.0000 0.0000
CELL_PARAMETERS angstrom
2.9708 0.0000 0.0000
0.0000 4.1565 0.0000
0.0000 -2.0783 3.5997
```

Calculated values
**DFT total energy**: -86.45 eV for the cell shown
**Energy relative to the elements, uncorrected**: 0.964 eV per atom
**SG**: P3m1 (156)
**Volume**: 14.82 Å³ per atom
**Offset from the most stable computed form**: 0.000 eV/atom

***

TcRuBr2: single point on PBEsol structure, meta-GGA SCAN. Values from VASP.

```
&SYSTEM
  ibrav = 0, nat = 4, ntyp = 3
/
ATOMIC_SPECIES
Br 79.90 Br.upf
Ru 101.07 Ru.upf
Tc 98.00 Tc.upf
ATOMIC_POSITIONS crystal
Br 0.5000 0.0000 0.5000
Br 0.0000 0.0000 0.0000
Ru 0.5000 0.5000 0.0000
Tc 0.0000 0.5000 0.5000
CELL_PARAMETERS angstrom
2.9448 0.0000 0.0000
0.0000 4.2600 0.0000
0.0000 0.0000 5.4675
```

Calculated values
**DFT total energy**: -104.39 eV for the cell shown
**Energy relative to the elements, uncorrected**: 1.103 eV per atom
**SG**: Pmmm (47)
**Volume**: 17.15 Å³ per atom
**Offset from the most stable computed form**: 0.638 eV/atom

***

TcRuBr2: single point on PBEsol structure, meta-GGA SCAN. Values from VASP.

```
&SYSTEM
  ibrav = 0, nat = 4, ntyp = 3
/
ATOMIC_SPECIES
Br 79.90 Br.upf
Ru 101.07 Ru.upf
Tc 98.00 Tc.upf
ATOMIC_POSITIONS crystal
Br 0.9801 0.9801 0.0598
Br 0.7683 0.7683 0.6950
Ru 0.5073 0.5073 0.4780
Tc 0.2443 0.2443 0.2672
CELL_PARAMETERS angstrom
2.9978 0.0000 0.0000
1.4989 2.5961 0.0000
1.4989 0.8654 9.3580
```

Calculated values
**DFT total energy**: -106.94 eV for the cell shown
**Energy relative to the elements, uncorrected**: 0.465 eV per atom
**SG**: R3m (160)
**Volume**: 18.21 Å³ per atom
**Offset from the most stable computed form**: 0.000 eV/atom

***

Te2RuBr: single point on PBEsol structure, meta-GGA SCAN. Values from VASP.

```
&SYSTEM
  ibrav = 0, nat = 4, ntyp = 3
/
ATOMIC_SPECIES
Te 127.60 Te.upf
Br 79.90 Br.upf
Ru 101.07 Ru.upf
ATOMIC_POSITIONS crystal
Te 0.8851 0.8851 0.3447
Te 0.1149 0.1149 0.6553
Br 0.0000 0.0000 0.0000
Ru 0.5000 0.5000 0.5000
CELL_PARAMETERS angstrom
-2.0811 -2.4267 2.4136
1.9231 -2.5343 2.4340
0.0687 3.9575 7.3624
```

Calculated values
**DFT total energy**: -129.63 eV for the cell shown
**Energy relative to the elements, uncorrected**: -0.210 eV per atom
**SG**: R-3m (166)
**Volume**: 27.90 Å³ per atom
**Offset from the most stable computed form**: 0.000 eV/atom

***

Te2RuBr: single point on PBEsol structure, meta-GGA SCAN. Values from VASP.

```
&SYSTEM
  ibrav = 0, nat = 4, ntyp = 3
/
ATOMIC_SPECIES
Te 127.60 Te.upf
Br 79.90 Br.upf
Ru 101.07 Ru.upf
ATOMIC_POSITIONS crystal
Te 0.0000 0.0000 0.5000
Br 0.5000 0.0000 0.0000
Ru 0.5000 0.5000 0.5000
Te 0.0000 0.5000 0.0000
CELL_PARAMETERS angstrom
-1.9500 -2.3787 -1.2762
-0.4579 -2.1836 4.7695
-3.7430 3.5791 -0.9518
```

Calculated values
**DFT total energy**: -125.46 eV for the cell shown
**Energy relative to the elements, uncorrected**: 0.831 eV per atom
**SG**: Cmmm (65)
**Volume**: 21.31 Å³ per atom
**Offset from the most stable computed form**: 1.042 eV/atom

***

Te2RuBr: single point on PBEsol structure, meta-GGA SCAN. Values from VASP.

```
&SYSTEM
  ibrav = 0, nat = 4, ntyp = 3
/
ATOMIC_SPECIES
Te 127.60 Te.upf
Br 79.90 Br.upf
Ru 101.07 Ru.upf
ATOMIC_POSITIONS crystal
Te 0.0000 0.5000 0.0000
Br 0.5000 0.5000 0.5000
Te 0.0000 0.0000 0.5000
Ru 0.5000 0.0000 0.0000
CELL_PARAMETERS angstrom
3.1551 0.0000 0.0000
0.0000 5.1094 0.0000
0.0000 0.0000 5.1094
```

Calculated values
**DFT total energy**: -125.84 eV for the cell shown
**Energy relative to the elements, uncorrected**: 0.737 eV per atom
**SG**: P4/mmm (123)
**Volume**: 20.59 Å³ per atom
**Offset from the most stable computed form**: 0.947 eV/atom

***

Te2RuBr: single point on PBEsol structure, meta-GGA SCAN. Values from VASP.

```
&SYSTEM
  ibrav = 0, nat = 4, ntyp = 3
/
ATOMIC_SPECIES
Te 127.60 Te.upf
Br 79.90 Br.upf
Ru 101.07 Ru.upf
ATOMIC_POSITIONS crystal
Te 0.5000 0.5000 0.2151
Te 0.0000 0.0000 0.8598
Br 0.0000 0.0000 0.5256
Ru 0.5000 0.5000 0.8995
CELL_PARAMETERS angstrom
3.6555 0.0000 0.0000
0.0000 3.6555 0.0000
0.0000 0.0000 7.9706
```

Calculated values
**DFT total energy**: -128.03 eV for the cell shown
**Energy relative to the elements, uncorrected**: 0.189 eV per atom
**SG**: P4mm (99)
**Volume**: 26.63 Å³ per atom
**Offset from the most stable computed form**: 0.399 eV/atom

***

Te2RuBr: single point on PBEsol structure, meta-GGA SCAN. Values from VASP.

```
&SYSTEM
  ibrav = 0, nat = 4, ntyp = 3
/
ATOMIC_SPECIES
Ru 101.07 Ru.upf
Br 79.90 Br.upf
Te 127.60 Te.upf
ATOMIC_POSITIONS crystal
Ru 0.2500 0.2500 0.2500
Br 0.5000 0.5000 0.5000
Te 0.7500 0.7500 0.7500
Te 0.0000 0.0000 0.0000
CELL_PARAMETERS angstrom
4.9285 0.0000 0.0000
2.4643 4.2682 0.0000
2.4643 1.4227 4.0241
```

Calculated values
**DFT total energy**: -125.53 eV for the cell shown
**Energy relative to the elements, uncorrected**: 0.815 eV per atom
**SG**: F-43m (216)
**Volume**: 21.16 Å³ per atom
**Offset from the most stable computed form**: 1.025 eV/atom